Below is a relaxed structure of AcLa7Er3, with properties calculated at the PBE-GGA level.

- energy relative to the lowest polymorph listed for this composition (meV per atom) = 24
- DFT formation energy (meV/atom) = 209
- space-group type = C2/m, No. 12
- electronic total energy (eV per atom) = -4.544

abc: 7.8500 7.8500 6.6705
angles: 94.01 94.01 81.71
Last column: nearest neighbours and their distance in Å.
Atoms (fractional coordinates):
Ac1 0.0000 0.0000 0.0000  4 La 3.34-3.59
La1 0.0000 0.0000 0.5000  2 Ac 3.34, 2 Er 3.42, 2 La 3.58
La2 0.0747 0.4367 0.7620  3 La 3.31-3.63, 3 Er 3.53-3.71
La3 0.2685 0.2685 0.2968  5 La 3.31-3.63, 3 Er 3.41-3.53, 1 Ac 3.59
La4 0.4367 0.0747 0.7620  3 La 3.31-3.63, 3 Er 3.53-3.71
La5 0.5633 0.9253 0.2380  3 La 3.31-3.63, 3 Er 3.53-3.71
La6 0.7315 0.7315 0.7032  5 La 3.31-3.63, 3 Er 3.41-3.53, 1 Ac 3.59
La7 0.9253 0.5633 0.2380  3 La 3.31-3.63, 3 Er 3.53-3.71
Er1 0.3330 0.6670 0.5000  7 La 3.41-3.71, 3 Er 3.43-3.75
Er2 0.5000 0.5000 0.0000  6 La 3.53-3.68, 4 Er 3.75
Er3 0.6670 0.3330 0.5000  7 La 3.41-3.71, 3 Er 3.43-3.75